Record 1
First-principles (PBE-GGA) data for crystalline Li7Ca3Tl4 at its relaxed geometry, as listed in Alexandria via LeMat-Bulk.

a b c (Å): 17.0053 4.9864 9.4413
angles (deg): 90.00 123.69 90.00
Last column: nearest neighbours and their distance in Å.
Space group C2/m (No. 12)
Inequivalent atoms, fractional coordinates:
Li (0.0000, 0.0000, 0.0000) x2  2 Tl 2.70, 6 Li 2.75-3.00
Li (0.0064, 0.5000, 0.8290) x4  3 Li 2.78-3.00, 3 Tl 2.80-3.08
Li (0.1399, 0.0000, 0.3414) x4  1 Li 2.75, 3 Tl 2.87-2.95
Li (0.1651, 0.5000, 0.8133) x4  1 Li 2.78, 4 Tl 2.82-2.92
Ca (0.0000, 0.0000, 0.5000) x2  6 Tl 3.35-3.60, 6 Li 3.44-3.69
Ca (0.2173, 0.5000, 0.2153) x4  8 Li 3.30-3.59, 6 Tl 3.37-3.48
Tl (0.1322, 0.0000, 0.9266) x4  4 Li 2.70-2.92
Tl (0.1545, 0.5000, 0.5046) x4  5 Li 2.80-2.95

total DFT energy (no corrections): -2.30 eV per atom
ΔH_f (0 K): -0.241 eV/atom

Record 2
First-principles (PBE-GGA) data for crystalline Li2CaTl at its relaxed geometry, as listed in Alexandria via LeMat-Bulk.

a b c (Å): 3.5916 3.5916 29.6498
angles (deg): 90.00 90.00 120.00
Last column: nearest neighbours and their distance in Å.
Space group R-3m (No. 166, hexagonal axes)
Inequivalent atoms, fractional coordinates:
Li (0.0000, 0.0000, 0.2389) x6  3 Tl 2.98
Ca (0.0000, 0.0000, 0.0000) x3  6 Li 3.48, 6 Ca 3.59
Tl (0.0000, 0.0000, 0.5000) x3  6 Li 2.98

total DFT energy (no corrections): -2.05 eV per atom
ΔH_f (0 K): -0.005 eV/atom

Record 3
First-principles (PBE-GGA) data for crystalline Li10CaTl at its relaxed geometry, as listed in Alexandria via LeMat-Bulk.

a b c (Å): 4.7864 5.6312 9.8513
angles (deg): 90.00 90.00 90.00
Last column: nearest neighbours and their distance in Å.
Space group Pmmm (No. 47)
Inequivalent atoms, fractional coordinates:
Li (0.0000, 0.0000, 0.0000) x1  8 Li 2.97-3.06
Li (0.0000, 0.2420, 0.2675) x4  8 Li 2.71-2.97
Li (0.0000, 0.5000, 0.5000) x1  8 Li 2.71-2.80
Li (0.5000, 0.0000, 0.1943) x2  6 Li 2.85-3.06, 1 Tl 3.01
Li (0.5000, 0.5000, 0.3523) x2  7 Li 2.80-2.92
Ca (0.5000, 0.5000, 0.0000) x1  10 Li 3.40-3.70
Tl (0.5000, 0.0000, 0.5000) x1  6 Li 3.01-3.17

total DFT energy (no corrections): -1.94 eV per atom
ΔH_f (0 K): 0.021 eV/atom

Record 4
First-principles (PBE-GGA) data for crystalline Li2Ca3Tl at its relaxed geometry, as listed in Alexandria via LeMat-Bulk.

a b c (Å): 5.5013 5.5013 13.4841
angles (deg): 90.00 90.00 120.00
Last column: nearest neighbours and their distance in Å.
Space group P-3m1 (No. 164)
Inequivalent atoms, fractional coordinates:
Li (0.0000, 0.0000, 0.0000) x1  8 Ca 3.39-3.45
Li (0.0000, 0.0000, 0.5000) x1  8 Ca 3.29-3.36
Li (0.3333, 0.6667, 0.1720) x2  8 Ca 3.32-3.50
Ca (0.0000, 0.0000, 0.2561) x2  5 Li 3.29-3.45, 3 Tl 3.35
Ca (0.3333, 0.6667, 0.4185) x2  4 Li 3.32-3.36, 4 Tl 3.34-3.37
Ca (0.3333, 0.6667, 0.9123) x2  1 Tl 3.32, 7 Li 3.37-3.50
Tl (0.3333, 0.6667, 0.6661) x2  8 Ca 3.32-3.37

total DFT energy (no corrections): -2.22 eV per atom
ΔE to the lowest computed polymorph: 0 meV/atom
ΔH_f (0 K): -0.183 eV/atom

Record 5
First-principles (PBE-GGA) data for crystalline Li2CaTl5 at its relaxed geometry, as listed in Alexandria via LeMat-Bulk.

a b c (Å): 7.9549 7.9549 13.1135
angles (deg): 90.00 90.00 90.00
Last column: nearest neighbours and their distance in Å.
Space group I4/mcm (No. 140)
Inequivalent atoms, fractional coordinates:
Li (0.1437, 0.3563, 0.0000) x8  8 Tl 3.02-3.06, 1 Li 3.23
Ca (0.0000, 0.0000, 0.2500) x4  10 Tl 3.28-3.32
Tl (0.0000, 0.0000, 0.0000) x4  4 Li 3.06, 2 Ca 3.28
Tl (0.1495, 0.3505, 0.3532) x16  3 Li 3.02, 2 Ca 3.32, 1 Tl 3.36

total DFT energy (no corrections): -2.38 eV per atom
ΔH_f (0 K): -0.177 eV/atom

Record 6
First-principles (PBE-GGA) data for crystalline Li6Ca3Tl2 at its relaxed geometry, as listed in Alexandria via LeMat-Bulk.

a b c (Å): 4.2648 4.2648 32.1095
angles (deg): 90.00 90.00 90.00
Last column: nearest neighbours and their distance in Å.
Space group I4/mmm (No. 139)
Inequivalent atoms, fractional coordinates:
Li (0.0000, 0.0000, 0.1705) x4  4 Li 2.92
Li (0.0000, 0.5000, 0.1085) x8  2 Tl 2.84, 6 Li 2.92-3.02
Ca (0.0000, 0.0000, 0.2891) x4  4 Li 3.28
Ca (0.0000, 0.0000, 0.5000) x2  8 Tl 3.42
Tl (0.0000, 0.0000, 0.0502) x4  4 Li 2.84

total DFT energy (no corrections): -2.11 eV per atom
ΔH_f (0 K): -0.088 eV/atom

Record 7
First-principles (PBE-GGA) data for crystalline LiCa2Tl6 at its relaxed geometry, as listed in Alexandria via LeMat-Bulk.

a b c (Å): 8.5070 15.9206 3.8611
angles (deg): 90.00 90.00 90.00
Last column: nearest neighbours and their distance in Å.
Space group Cmmm (No. 65)
Inequivalent atoms, fractional coordinates:
Li (0.0000, 0.0000, 0.0000) x2  4 Tl 2.92
Ca (0.0000, 0.3066, 0.5000) x4  10 Tl 3.36-3.48
Tl (0.1851, 0.1541, 0.0000) x8  1 Li 2.92, 2 Tl 3.15-3.25
Tl (0.1900, 0.5000, 0.5000) x4  5 Tl 3.23-3.30, 2 Li 3.27, 2 Ca 3.48

total DFT energy (no corrections): -2.40 eV per atom
ΔE to the lowest computed polymorph: 47 meV/atom
ΔH_f (0 K): -0.166 eV/atom

Record 8
First-principles (PBE-GGA) data for crystalline Li2Ca7Tl2 at its relaxed geometry, as listed in Alexandria via LeMat-Bulk.

a b c (Å): 7.9681 11.9114 8.3571
angles (deg): 90.00 90.00 90.00
Last column: nearest neighbours and their distance in Å.
Space group Cmmm (No. 65)
Inequivalent atoms, fractional coordinates:
Li (0.0000, 0.2039, 0.0000) x4  7 Ca 3.19-3.53
Ca (0.0000, 0.0000, 0.2577) x4  2 Tl 3.23, 2 Li 3.25, 4 Ca 3.59
Ca (0.0000, 0.5000, 0.0000) x2  2 Li 3.53
Ca (0.2500, 0.2500, 0.2901) x8  2 Li 3.19, 2 Tl 3.50, 1 Ca 3.51
Tl (0.1845, 0.5000, 0.5000) x4  1 Tl 2.94, 2 Ca 3.23

total DFT energy (no corrections): -2.02 eV per atom
ΔH_f (0 K): 0.033 eV/atom